This record from the Alexandria database describes an optimized crystal structure of AcSmYHo3. The functional is PBE.

a = 23.1988 Å, b = 5.4348 Å, c = 6.9595 Å
α = 90.00°, β = 98.37°, γ = 90.00°
Space group C2/m (No. 12)
Unique sites:
Ac (0.1271, 0.0000, 0.4810) (multiplicity 4)
Sm (0.1680, 0.0000, 0.0222) (multiplicity 4)
Y (0.0747, 0.5000, 0.1132) (multiplicity 4)
Ho (0.0215, 0.0000, 0.7839) (multiplicity 4)
Ho (0.1805, 0.5000, 0.7825) (multiplicity 4)
Ho (0.2251, 0.5000, 0.3150) (multiplicity 4)

* E_form: 230.7 meV per atom


This record from the Alexandria database describes an optimized crystal structure of La4TbTm15. The functional is PBE.

a = 5.0308 Å, b = 5.0308 Å, c = 24.9526 Å
α = 90.00°, β = 90.00°, γ = 90.00°
Space group P4/mmm (No. 123)
Unique sites:
La (0.0000, 0.0000, 0.1005) (multiplicity 2)
La (0.0000, 0.0000, 0.3003) (multiplicity 2)
Tb (0.0000, 0.0000, 0.5000) (multiplicity 1)
Tm (0.0000, 0.5000, 0.0000) (multiplicity 2)
Tm (0.0000, 0.5000, 0.2010) (multiplicity 4)
Tm (0.0000, 0.5000, 0.4026) (multiplicity 4)
Tm (0.5000, 0.5000, 0.1003) (multiplicity 2)
Tm (0.5000, 0.5000, 0.3017) (multiplicity 2)
Tm (0.5000, 0.5000, 0.5000) (multiplicity 1)

* E_form: 38.5 meV per atom


This record from the Alexandria database describes an optimized crystal structure of Na3SbIr. The functional is PBE.

a = 5.7921 Å, b = 5.7921 Å, c = 5.7921 Å
α = 90.00°, β = 90.00°, γ = 90.00°
Space group Pm-3m (No. 221)
Unique sites:
Na (0.0000, 0.0000, 0.5000) (multiplicity 3)
Sb (0.0000, 0.0000, 0.0000) (multiplicity 1)
Ir (0.5000, 0.5000, 0.5000) (multiplicity 1)

* uncorrected formation energy: 0.959 eV/atom


This record from the Alexandria database describes an optimized crystal structure of MnBeI2N. The functional is PBE.

a = 5.8074 Å, b = 5.8074 Å, c = 3.2047 Å
α = 90.00°, β = 90.00°, γ = 90.00°
Space group P4/mmm (No. 123)
Unique sites:
Mn (0.0000, 0.0000, 0.0000) (multiplicity 1)
Be (0.5000, 0.5000, 0.5000) (multiplicity 1)
I (0.0000, 0.5000, 0.5000) (multiplicity 2)
N (0.5000, 0.5000, 0.0000) (multiplicity 1)

* uncorrected formation energy: 0.549 eV/atom


This record from the Alexandria database describes an optimized crystal structure of NdDyTl. The functional is PBE.

a = 6.2205 Å, b = 6.2205 Å, c = 10.0738 Å
α = 90.00°, β = 90.00°, γ = 90.00°
Space group I4_1md (No. 109)
Unique sites:
Nd (0.0000, 0.0000, 0.0000) (multiplicity 4)
Dy (0.0000, 0.0000, 0.3660) (multiplicity 4)
Tl (0.0000, 0.0000, 0.6744) (multiplicity 4)

* E_form: 67.9 meV per atom


This record from the Alexandria database describes an optimized crystal structure of KHgBrCl2. The functional is PBE.

a = 5.3417 Å, b = 5.3417 Å, c = 5.6158 Å
α = 90.00°, β = 90.00°, γ = 90.00°
Space group P4/mmm (No. 123)
Unique sites:
K (0.0000, 0.0000, 0.0000) (multiplicity 1)
Hg (0.5000, 0.5000, 0.5000) (multiplicity 1)
Br (0.5000, 0.5000, 0.0000) (multiplicity 1)
Cl (0.0000, 0.5000, 0.5000) (multiplicity 2)

* uncorrected formation energy: -1.018 eV/atom


This record from the Alexandria database describes an optimized crystal structure of YEr2Sc2. The functional is PBE.

a = 9.0291 Å, b = 9.0291 Å, c = 3.5204 Å
α = 90.00°, β = 90.00°, γ = 90.00°
Space group P4/mbm (No. 127)
Unique sites:
Y (0.0000, 0.0000, 0.0000) (multiplicity 2)
Er (0.1749, 0.3251, 0.5000) (multiplicity 4)
Sc (0.1208, 0.6208, 0.0000) (multiplicity 4)

* E_form: 64.2 meV per atom


This record from the Alexandria database describes an optimized crystal structure of RbLaMgCd. The functional is PBE.

a = 6.1123 Å, b = 3.6359 Å, c = 6.2527 Å
α = 90.00°, β = 96.22°, γ = 90.00°
Space group Pm (No. 6)
Unique sites:
Rb (0.0000, 0.0000, 0.0000) (multiplicity 1)
La (0.5633, 0.0000, 0.4285) (multiplicity 1)
Mg (0.4850, 0.5000, 0.8956) (multiplicity 1)
Cd (0.0880, 0.5000, 0.5103) (multiplicity 1)

* E_form: 81.3 meV per atom


This record from the Alexandria database describes an optimized crystal structure of NaSc2AuO. The functional is PBE.

a = 4.3271 Å, b = 4.3271 Å, c = 4.6049 Å
α = 90.00°, β = 90.00°, γ = 90.00°
Space group P4/mmm (No. 123)
Unique sites:
Na (0.0000, 0.0000, 0.0000) (multiplicity 1)
Sc (0.0000, 0.5000, 0.5000) (multiplicity 2)
Au (0.5000, 0.5000, 0.0000) (multiplicity 1)
O (0.0000, 0.0000, 0.5000) (multiplicity 1)

* uncorrected formation energy: -1.318 eV/atom


This record from the Alexandria database describes an optimized crystal structure of Sr2YSc. The functional is PBE.

a = 5.4592 Å, b = 5.4592 Å, c = 10.3048 Å
α = 90.00°, β = 90.00°, γ = 90.00°
Space group I-4m2 (No. 119)
Unique sites:
Sr (0.0000, 0.0000, 0.0000) (multiplicity 2)
Sr (0.0000, 0.5000, 0.2500) (multiplicity 2)
Y (0.0000, 0.5000, 0.7500) (multiplicity 2)
Sc (0.0000, 0.0000, 0.5000) (multiplicity 2)

* E_form: 327.9 meV per atom


This record from the Alexandria database describes an optimized crystal structure of Ge2BSb. The functional is PBE.

a = 5.5328 Å, b = 5.5328 Å, c = 10.7330 Å
α = 90.00°, β = 90.00°, γ = 90.00°
Space group I-42d (No. 122)
Unique sites:
Ge (0.1620, 0.2500, 0.1250) (multiplicity 8)
B (0.0000, 0.0000, 0.0000) (multiplicity 4)
Sb (0.0000, 0.0000, 0.5000) (multiplicity 4)

* uncorrected formation energy: 0.193 eV/atom


This record from the Alexandria database describes an optimized crystal structure of PmDy2Ag. The functional is PBE.

a = 5.0046 Å, b = 11.8715 Å, c = 7.9125 Å
α = 90.00°, β = 90.00°, γ = 90.00°
Space group Cmcm (No. 63)
Unique sites:
Pm (0.0000, 0.0533, 0.2500) (multiplicity 4)
Dy (0.0000, 0.3567, 0.0357) (multiplicity 8)
Ag (0.0000, 0.2059, 0.7500) (multiplicity 4)

* E_form: -73.6 meV per atom


This record from the Alexandria database describes an optimized crystal structure of EuRhS2. The functional is PBE.

a = 3.9805 Å, b = 3.9805 Å, c = 16.6381 Å
α = 90.00°, β = 90.00°, γ = 120.00°
Space group R-3m (No. 166, hexagonal axes)
Unique sites:
Eu (0.0000, 0.0000, 0.0000) (multiplicity 3)
Rh (0.0000, 0.0000, 0.5000) (multiplicity 3)
S (0.0000, 0.0000, 0.2319) (multiplicity 6)

* uncorrected formation energy: -1.052 eV/atom


This record from the Alexandria database describes an optimized crystal structure of Er4AgHg3. The functional is PBE.

a = 3.6663 Å, b = 3.6663 Å, c = 14.6897 Å
α = 90.00°, β = 90.00°, γ = 90.00°
Space group P4/mmm (No. 123)
Unique sites:
Er (0.0000, 0.0000, 0.1203) (multiplicity 2)
Er (0.0000, 0.0000, 0.3731) (multiplicity 2)
Ag (0.5000, 0.5000, 0.0000) (multiplicity 1)
Hg (0.5000, 0.5000, 0.2475) (multiplicity 2)
Hg (0.5000, 0.5000, 0.5000) (multiplicity 1)

* E_form: -445.6 meV per atom


This record from the Alexandria database describes an optimized crystal structure of ZrNb3I. The functional is PBE.

a = 5.0447 Å, b = 5.0447 Å, c = 5.0447 Å
α = 90.00°, β = 90.00°, γ = 90.00°
Space group Pm-3m (No. 221)
Unique sites:
Zr (0.0000, 0.0000, 0.0000) (multiplicity 1)
Nb (0.0000, 0.0000, 0.5000) (multiplicity 3)
I (0.5000, 0.5000, 0.5000) (multiplicity 1)

* uncorrected formation energy: 1.683 eV/atom


This record from the Alexandria database describes an optimized crystal structure of CaInTe2. The functional is PBE.

a = 7.8616 Å, b = 7.8616 Å, c = 7.8616 Å
α = 90.00°, β = 90.00°, γ = 90.00°
Space group F-43m (No. 216)
Unique sites:
Ca (0.0000, 0.0000, 0.0000) (multiplicity 4)
In (0.2500, 0.2500, 0.2500) (multiplicity 4)
Te (0.0000, 0.0000, 0.5000) (multiplicity 4)
Te (0.2500, 0.2500, 0.7500) (multiplicity 4)

* uncorrected formation energy: -0.372 eV/atom


This record from the Alexandria database describes an optimized crystal structure of TmCo3. The functional is PBE.

a = 4.9339 Å, b = 4.9339 Å, c = 24.2490 Å
α = 90.00°, β = 90.00°, γ = 120.00°
Space group R-3m (No. 166, hexagonal axes)
Unique sites:
Tm (0.0000, 0.0000, 0.0000) (multiplicity 3)
Tm (0.0000, 0.0000, 0.1398) (multiplicity 6)
Co (0.0000, 0.0000, 0.3350) (multiplicity 6)
Co (0.0000, 0.0000, 0.5000) (multiplicity 3)
Co (0.0035, 0.5017, 0.9183) (multiplicity 18)

* E_form: -225.8 meV per atom


This record from the Alexandria database describes an optimized crystal structure of CoReSeN2. The functional is PBE.

a = 3.6803 Å, b = 3.6803 Å, c = 4.8408 Å
α = 90.00°, β = 90.00°, γ = 90.00°
Space group P4/mmm (No. 123)
Unique sites:
Co (0.0000, 0.0000, 0.0000) (multiplicity 1)
Re (0.5000, 0.5000, 0.5000) (multiplicity 1)
Se (0.0000, 0.0000, 0.5000) (multiplicity 1)
N (0.0000, 0.5000, 0.0000) (multiplicity 2)

* uncorrected formation energy: 1.569 eV/atom


This record from the Alexandria database describes an optimized crystal structure of CsBa3Zr. The functional is PBE.

a = 6.6946 Å, b = 6.6946 Å, c = 6.6946 Å
α = 90.00°, β = 90.00°, γ = 90.00°
Space group Pm-3m (No. 221)
Unique sites:
Cs (0.0000, 0.0000, 0.0000) (multiplicity 1)
Ba (0.0000, 0.5000, 0.5000) (multiplicity 3)
Zr (0.5000, 0.5000, 0.5000) (multiplicity 1)

* E_form: 580.9 meV per atom


This record from the Alexandria database describes an optimized crystal structure of CuMo5. The functional is PBE.

a = 4.9164 Å, b = 4.9164 Å, c = 4.4304 Å
α = 90.00°, β = 90.00°, γ = 120.00°
Space group P-62m (No. 189)
Unique sites:
Cu (0.0000, 0.0000, 0.0000) (multiplicity 1)
Mo (0.0000, 0.6699, 0.5000) (multiplicity 3)
Mo (0.3333, 0.6667, 0.0000) (multiplicity 2)

* E_form: 352.4 meV per atom


This record from the Alexandria database describes an optimized crystal structure of Tc2RuBr. The functional is PBE.

a = 6.2446 Å, b = 6.2446 Å, c = 6.2446 Å
α = 90.00°, β = 90.00°, γ = 90.00°
Space group Fm-3m (No. 225)
Unique sites:
Tc (0.2500, 0.2500, 0.2500) (multiplicity 8)
Ru (0.0000, 0.0000, 0.0000) (multiplicity 4)
Br (0.0000, 0.0000, 0.5000) (multiplicity 4)

* uncorrected formation energy: 0.915 eV/atom


This record from the Alexandria database describes an optimized crystal structure of BaCdIn2Pt. The functional is PBE.

a = 5.2485 Å, b = 5.2485 Å, c = 5.3289 Å
α = 90.00°, β = 90.00°, γ = 90.00°
Space group P4/mmm (No. 123)
Unique sites:
Ba (0.0000, 0.0000, 0.0000) (multiplicity 1)
Cd (0.5000, 0.5000, 0.0000) (multiplicity 1)
In (0.0000, 0.5000, 0.5000) (multiplicity 2)
Pt (0.5000, 0.5000, 0.5000) (multiplicity 1)

* E_form: -404.9 meV per atom


This record from the Alexandria database describes an optimized crystal structure of KLi2Si. The functional is PBE.

a = 3.0234 Å, b = 4.0844 Å, c = 7.6711 Å
α = 90.00°, β = 90.00°, γ = 90.00°
Space group Pmmm (No. 47)
Unique sites:
K (0.0000, 0.0000, 0.0000) (multiplicity 1)
Li (0.5000, 0.5000, 0.3443) (multiplicity 2)
Si (0.0000, 0.0000, 0.5000) (multiplicity 1)

* uncorrected formation energy: 0.123 eV/atom


This record from the Alexandria database describes an optimized crystal structure of ZnFeSeBr2. The functional is PBE.

a = 5.0012 Å, b = 5.0012 Å, c = 5.1827 Å
α = 90.00°, β = 90.00°, γ = 90.00°
Space group P4/mmm (No. 123)
Unique sites:
Zn (0.0000, 0.0000, 0.0000) (multiplicity 1)
Fe (0.5000, 0.5000, 0.5000) (multiplicity 1)
Se (0.0000, 0.0000, 0.5000) (multiplicity 1)
Br (0.0000, 0.5000, 0.0000) (multiplicity 2)

* uncorrected formation energy: 0.434 eV/atom


This record from the Alexandria database describes an optimized crystal structure of BaAsSCl2. The functional is PBE.

a = 5.0852 Å, b = 5.0852 Å, c = 5.2335 Å
α = 90.00°, β = 90.00°, γ = 90.00°
Space group P4/mmm (No. 123)
Unique sites:
Ba (0.0000, 0.0000, 0.0000) (multiplicity 1)
As (0.5000, 0.5000, 0.5000) (multiplicity 1)
S (0.5000, 0.5000, 0.0000) (multiplicity 1)
Cl (0.0000, 0.5000, 0.5000) (multiplicity 2)

* uncorrected formation energy: -1.076 eV/atom


This record from the Alexandria database describes an optimized crystal structure of AsPHBr2. The functional is PBE.

a = 5.1310 Å, b = 5.1310 Å, c = 3.5197 Å
α = 90.00°, β = 90.00°, γ = 90.00°
Space group P4/mmm (No. 123)
Unique sites:
As (0.0000, 0.0000, 0.0000) (multiplicity 1)
P (0.5000, 0.5000, 0.0000) (multiplicity 1)
H (0.0000, 0.0000, 0.5000) (multiplicity 1)
Br (0.0000, 0.5000, 0.5000) (multiplicity 2)


This record from the Alexandria database describes an optimized crystal structure of KBRu. The functional is PBE.

a = 4.0633 Å, b = 4.0639 Å, c = 10.0796 Å
α = 89.57°, β = 88.77°, γ = 75.57°
Space group P-1 (No. 2)
Unique sites:
K (0.2411, 0.2542, 0.2772) (multiplicity 2)
B (0.1746, 0.8254, 0.0000) (multiplicity 2)
Ru (0.2958, 0.2936, 0.9546) (multiplicity 2)

* E_form: 113.0 meV per atom


Number 1: V 868.10 Å³/cell, E -110.56 eV/cell, total magnetization 0.00 μB/cell. Number 2: V 631.53 Å³/cell, E -90.64 eV/cell, total magnetization 0.00 μB/cell. Number 3: V 194.32 Å³/cell, E -12.14 eV/cell, total magnetization 3.00 μB/cell. Number 4: V 108.08 Å³/cell, E -21.58 eV/cell, total magnetization 3.45 μB/cell. Number 5: V 389.80 Å³/cell, E -46.13 eV/cell, total magnetization 1.85 μB/cell. Number 6: V 160.24 Å³/cell, E -11.85 eV/cell, total magnetization 0.00 μB/cell. Number 7: V 287.00 Å³/cell, E -55.86 eV/cell, total magnetization 0.00 μB/cell. Number 8: V 138.14 Å³/cell, E -8.08 eV/cell, total magnetization 0.00 μB/cell. Number 9: V 86.22 Å³/cell, E -28.81 eV/cell, total magnetization 0.00 μB/cell. Number 10: V 307.11 Å³/cell, E -29.70 eV/cell, total magnetization 4.23 μB/cell. Number 11: V 328.56 Å³/cell, E -77.06 eV/cell, total magnetization 0.00 μB/cell. Number 12: V 470.09 Å³/cell, E -68.40 eV/cell, total magnetization 0.00 μB/cell. Number 13: V 228.30 Å³/cell, E -90.26 eV/cell, total magnetization 23.64 μB/cell. Number 14: V 197.45 Å³/cell, E -25.57 eV/cell, total magnetization 0.00 μB/cell. Number 15: V 128.38 Å³/cell, E -31.89 eV/cell, total magnetization 0.00 μB/cell. Number 16: V 485.89 Å³/cell, E -50.04 eV/cell, total magnetization 0.00 μB/cell. Number 17: V 511.23 Å³/cell, E -240.23 eV/cell, total magnetization 32.23 μB/cell. Number 18: V 65.56 Å³/cell, E -31.84 eV/cell, total magnetization 0.21 μB/cell. Number 19: V 300.04 Å³/cell, E -12.27 eV/cell, total magnetization 1.13 μB/cell. Number 20: V 92.74 Å³/cell, E -56.14 eV/cell, total magnetization 0.00 μB/cell. Number 21: V 243.51 Å³/cell, E -112.08 eV/cell, total magnetization 0.00 μB/cell. Number 22: V 146.79 Å³/cell, E -16.38 eV/cell, total magnetization 0.00 μB/cell. Number 23: V 94.73 Å³/cell, E -9.86 eV/cell, total magnetization 0.00 μB/cell. Number 24: V 129.63 Å³/cell, E -14.40 eV/cell, total magnetization 4.10 μB/cell. Number 25: V 135.33 Å³/cell, E -19.77 eV/cell, total magnetization 0.00 μB/cell. Number 26: V 92.66 Å³/cell, E -12.63 eV/cell, total magnetization 0.00 μB/cell. Number 27: V 161.15 Å³/cell, E -33.42 eV/cell, total magnetization 0.00 μB/cell.